{"formula": "LiOs2Br", "functional": "GGA-PBE", "state": "relaxed", "formation_energy_uncorrected_kj_per_mol_atoms": 102.22, "de_polymorph_ev_per_atom": 0.731, "total_energy_ev_per_atom": -5.4521, "spacegroup": "P4/mmm, No. 123", "lattice_angstrom": [[2.5475, 0.0000, 0.0000], [0.0000, 2.5475, 0.0000], [0.0000, 0.0000, 12.7111]], "species": ["Li", "Os", "Os", "Br"], "frac_coords": [[0.0000, 0.0000, 0.0000], [0.5000, 0.5000, 0.1722], [0.5000, 0.5000, 0.8278], [0.0000, 0.0000, 0.5000]]}